(1)
Compound: PaHg2
Source: the Alexandria database
Functional: PBE
Structure: optimized geometry

Energy relative to the lowest polymorph listed for this composition   0 meV/atom
Symmetry   No. 139
Energy of formation from the pure elements   10.3 kJ per mole of atoms

a = 3.285 Å, b = 3.285 Å, c = 7.082 Å
α = 103.41°, β = 103.41°, γ = 90.00°
Each line ends with the local moment (μB).
Element x y z (fractional)
Pa  0.000  0.000  0.000  1.08
Hg  0.671  0.671  0.342  0.00
Hg  0.329  0.329  0.658  0.00

=====

(2)
Compound: PaHgPb2
Source: the Alexandria database
Functional: PBE
Structure: optimized geometry

Energy relative to the lowest polymorph listed for this composition   0 meV/atom
Symmetry   No. 123
Energy of formation from the pure elements   -2.8 kJ per mole of atoms

a = 4.497 Å, b = 4.857 Å, c = 4.857 Å
α = 90.00°, β = 90.00°, γ = 90.00°
Element x y z (fractional)
Pb  0.000  0.000  0.500
Pb  0.000  0.500  0.000
Pa  0.500  0.000  0.000
Hg  0.500  0.500  0.500

=====

(3)
Compound: PaHgPb
Source: the Alexandria database
Functional: PBE
Structure: optimized geometry

Energy relative to the lowest polymorph listed for this composition   20 meV/atom
Symmetry   No. 156
Energy of formation from the pure elements   15.3 kJ per mole of atoms

a = 5.235 Å, b = 5.235 Å, c = 3.337 Å
α = 90.00°, β = 90.00°, γ = 120.00°
Each line ends with the local moment (μB).
Element x y z (fractional)
Pb  0.333  0.667  0.595  -0.02
Pa  0.000  0.000  0.034  1.07
Hg  0.667  0.333  0.371  0.00

=====

(4)
Compound: Pa2HgPb9
Source: the Alexandria database
Functional: PBE
Structure: optimized geometry

Symmetry   No. 123
Energy of formation from the pure elements   2.8 kJ per mole of atoms

a = 4.750 Å, b = 4.750 Å, c = 15.361 Å
α = 90.00°, β = 90.00°, γ = 90.00°
Element x y z (fractional)
Pa  0.000  0.000  0.349
Pa  0.000  0.000  0.651
Hg  0.000  0.000  0.000
Pb  0.500  0.500  0.000
Pb  0.500  0.500  0.334
Pb  0.500  0.500  0.666
Pb  0.500  0.000  0.174
Pb  0.500  0.000  0.500
Pb  0.500  0.000  0.826
Pb  0.000  0.500  0.174
Pb  0.000  0.500  0.500
Pb  0.000  0.500  0.826

=====

(5)
Compound: PaHg2Pb
Source: the Alexandria database
Functional: PBE
Structure: optimized geometry

Energy relative to the lowest polymorph listed for this composition   91 meV/atom
Symmetry   No. 123
Energy of formation from the pure elements   9.7 kJ per mole of atoms

a = 3.237 Å, b = 3.237 Å, c = 9.924 Å
α = 90.00°, β = 90.00°, γ = 90.00°
Each line ends with the local moment (μB).
Element x y z (fractional)
Pb  0.500  0.500  0.000  -0.01
Pa  0.500  0.500  0.500  0.78
Hg  0.000  0.000  0.736  0.00
Hg  0.000  0.000  0.264  0.00

=====

(6)
Compound: PaHg2Pb
Source: the Alexandria database
Functional: PBE
Structure: optimized geometry

Energy relative to the lowest polymorph listed for this composition   0 meV/atom
Symmetry   No. 123
Energy of formation from the pure elements   1.0 kJ per mole of atoms

a = 4.883 Å, b = 4.585 Å, c = 4.585 Å
α = 90.00°, β = 90.00°, γ = 90.00°
Each line ends with the local moment (μB).
Element x y z (fractional)
Pb  0.500  0.000  0.000  0.00
Pa  0.500  0.500  0.500  0.85
Hg  0.000  0.000  0.500  0.01
Hg  0.000  0.500  0.000  0.01

=====

(7)
Compound: PaHg2Pb
Source: the Alexandria database
Functional: PBE
Structure: optimized geometry

Energy relative to the lowest polymorph listed for this composition   263 meV/atom
Symmetry   No. 166
Energy of formation from the pure elements   26.4 kJ per mole of atoms

a = 3.266 Å, b = 3.266 Å, c = 12.322 Å
α = 82.38°, β = 82.38°, γ = 60.00°
Each line ends with the local moment (μB).
Element x y z (fractional)
Pb  0.500  0.500  0.500  0.00
Pa  0.000  0.000  0.000  0.57
Hg  0.086  0.086  0.742  0.00
Hg  0.914  0.914  0.258  0.00

=====

(8)
Compound: PaHg2Pb
Source: the Alexandria database
Functional: PBE
Structure: optimized geometry

Energy relative to the lowest polymorph listed for this composition   285 meV/atom
Symmetry   No. 160
Energy of formation from the pure elements   28.5 kJ per mole of atoms

a = 4.826 Å, b = 4.826 Å, c = 6.418 Å
α = 67.91°, β = 67.91°, γ = 60.00°
Each line ends with the local moment (μB).
Element x y z (fractional)
Pa  0.488  0.488  0.536  1.30
Hg  0.076  0.076  0.772  0.01
Hg  0.257  0.257  0.228  0.02
Pb  0.679  0.679  0.964  -0.01

=====

- The highest energy of formation from the pure elements belongs to which entry?
  number 8